SmHfZn: relaxed, PBE.

Calculated values
SG: P4/mmm
polymorph energy (0 for the lowest one): 0.0040 eV/atom
volume: 23.06 A^3/atom
crystal system: tetragonal
formation energy: -0.23 eV per formula unit

Geometry as extended XYZ:
```
6
Lattice="3.370 0.000 0.000 0.000 3.370 0.000 0.000 0.000 12.182" Properties=species:S:1:pos:R:3 pbc="T T T"
Sm 0.000 0.000 2.087
Sm 0.000 0.000 10.095
Hf 1.685 1.685 4.398
Hf 1.685 1.685 7.784
Zn 0.000 0.000 6.091
Zn 1.685 1.685 0.000
```


SmHfZn17: relaxed, PBE.

Calculated values
SG: R3m
volume: 15.77 A^3/atom
crystal system: trigonal
formation energy: -2.98 eV per formula unit

Geometry as extended XYZ:
```
19
Lattice="4.453 2.571 4.361 -4.453 2.571 4.361 0.000 -5.141 4.361" Properties=species:S:1:pos:R:3 pbc="T T T"
Sm 0.000 0.000 0.000
Hf 0.000 0.000 8.712
Zn -1.361 -2.292 4.383
Zn -2.666 -0.033 4.383
Zn -2.201 -1.270 6.798
Zn 0.000 0.000 3.156
Zn 0.000 -2.658 6.529
Zn -2.302 1.329 6.529
Zn 1.361 -2.292 4.383
Zn -1.305 2.325 4.383
Zn 0.000 0.000 5.768
Zn -2.049 -1.183 10.728
Zn 2.666 -0.033 4.383
Zn 1.305 2.325 4.383
Zn 2.201 -1.270 6.798
Zn 0.000 2.541 6.798
Zn 2.302 1.329 6.529
Zn 2.049 -1.183 10.728
Zn 0.000 2.366 10.728
```


Sm2HfZr: relaxed, PBE.

Calculated values
SG: R-3m
volume: 27.04 A^3/atom
crystal system: trigonal
formation energy: 0.87 eV per formula unit

Geometry as extended XYZ:
```
4
Lattice="1.681 0.971 11.044 -1.681 0.971 11.044 0.000 -1.941 11.044" Properties=species:S:1:pos:R:3 pbc="T T T"
Sm 0.000 0.000 8.259
Sm 0.000 0.000 24.871
Hf 0.000 0.000 16.565
Zr 0.000 0.000 0.000
```


HfSn2: relaxed, PBE.

Calculated values
SG: C2/m
volume: 22.89 A^3/atom
crystal system: monoclinic
formation energy: -0.46 eV per formula unit

Geometry as extended XYZ:
```
3
Lattice="2.634 -2.639 0.000 2.634 2.639 0.000 -2.611 0.000 4.940" Properties=species:S:1:pos:R:3 pbc="T T T"
Hf 0.000 0.000 0.000
Sn 0.009 0.000 3.349
Sn 2.648 0.000 1.591
```


HfSn: relaxed, PBE.

Calculated values
SG: P2_12_12_1
volume: 22.33 A^3/atom
crystal system: orthorhombic
formation energy: -0.60 eV per formula unit

Geometry as extended XYZ:
```
16
Lattice="5.686 0.000 0.000 0.000 5.908 0.000 0.000 0.000 10.633" Properties=species:S:1:pos:R:3 pbc="T T T"
Hf 0.303 0.639 2.305
Hf 1.189 2.252 5.725
Hf 1.654 3.656 0.409
Hf 2.540 5.269 7.622
Hf 3.146 2.315 8.328
Hf 4.033 0.702 4.908
Hf 4.497 5.206 10.224
Hf 5.383 3.593 3.011
Sn 0.296 3.419 8.344
Sn 1.243 5.247 4.915
Sn 1.600 0.661 10.231
Sn 2.547 2.489 3.027
Sn 3.139 5.444 2.289
Sn 4.086 3.615 5.718
Sn 4.443 2.293 0.401
Sn 5.390 0.465 7.606
```


HfSn: relaxed, PBE.

Calculated values
SG: I-43m
volume: 43.79 A^3/atom
crystal system: cubic
formation energy: 1.40 eV per formula unit

Geometry as extended XYZ:
```
8
Lattice="-4.441 4.441 4.441 4.441 -4.441 4.441 4.441 4.441 -4.441" Properties=species:S:1:pos:R:3 pbc="T T T"
Hf 1.086 1.086 -1.086
Hf 1.086 -1.086 1.086
Hf -1.086 1.086 1.086
Hf 3.355 3.355 3.355
Sn 2.736 2.736 -2.736
Sn 2.736 -2.736 2.736
Sn 1.705 1.705 1.705
Sn -2.736 2.736 2.736
```


HfSn2: relaxed, PBE.

Calculated values
SG: Pnnm
volume: 25.87 A^3/atom
crystal system: orthorhombic
formation energy: 0.28 eV per formula unit

Geometry as extended XYZ:
```
6
Lattice="6.131 0.000 0.000 0.000 7.828 0.000 0.000 0.000 3.235" Properties=species:S:1:pos:R:3 pbc="T T T"
Hf 0.000 0.000 0.000
Hf 3.065 3.914 1.617
Sn 0.458 2.490 1.617
Sn 2.607 6.404 0.000
Sn 3.524 1.424 0.000
Sn 5.673 5.338 1.617
```


HfSn: relaxed, PBE.

Calculated values
SG: Pmmn
volume: 22.66 A^3/atom
crystal system: orthorhombic
formation energy: -0.36 eV per formula unit

Geometry as extended XYZ:
```
12
Lattice="3.379 0.000 0.000 0.000 16.360 0.000 0.000 0.000 4.918" Properties=species:S:1:pos:R:3 pbc="T T T"
Hf 0.845 1.363 0.021
Hf 0.845 6.817 0.021
Hf 0.845 12.270 4.878
Hf 2.534 4.090 0.040
Hf 2.534 9.543 4.898
Hf 2.534 14.996 4.898
Sn 0.845 4.090 2.502
Sn 0.845 9.543 2.437
Sn 0.845 14.996 2.437
Sn 2.534 1.363 2.482
Sn 2.534 6.816 2.482
Sn 2.534 12.270 2.416
```


HfSn: relaxed, PBE.

Calculated values
SG: P6_3/mmc
volume: 30.47 A^3/atom
crystal system: hexagonal
formation energy: 0.44 eV per formula unit

Geometry as extended XYZ:
```
4
Lattice="4.966 0.000 0.000 -2.483 4.301 0.000 0.000 0.000 5.708" Properties=species:S:1:pos:R:3 pbc="T T T"
Hf 0.000 2.867 1.427
Hf 2.483 1.434 4.281
Sn 0.000 2.867 4.281
Sn 2.483 1.434 1.427
```


HfSn: relaxed, PBE.

Calculated values
SG: F-43m
volume: 35.22 A^3/atom
crystal system: cubic
formation energy: 1.52 eV per formula unit

Geometry as extended XYZ:
```
2
Lattice="0.000 3.278 3.278 3.278 0.000 3.278 3.278 3.278 0.000" Properties=species:S:1:pos:R:3 pbc="T T T"
Hf 0.000 0.000 0.000
Sn 1.639 1.639 1.639
```


HfSn2: relaxed, PBE.

Calculated values
SG: P6_222
volume: 22.63 A^3/atom
crystal system: hexagonal
formation energy: -0.82 eV per formula unit

Geometry as extended XYZ:
```
9
Lattice="5.537 0.000 0.000 -2.769 4.796 0.000 0.000 0.000 7.669" Properties=species:S:1:pos:R:3 pbc="T T T"
Hf -1.384 2.398 1.278
Hf 2.769 0.000 3.834
Hf 1.384 2.398 6.391
Sn 0.000 1.609 3.834
Sn -1.376 3.991 6.391
Sn 1.393 0.804 1.278
Sn 1.376 3.991 1.278
Sn 4.144 0.804 6.391
Sn 2.769 3.187 3.834
```


HfSn5: relaxed, PBE.

Calculated values
SG: Cmmm
volume: 25.52 A^3/atom
crystal system: orthorhombic
formation energy: 0.01 eV per formula unit

Geometry as extended XYZ:
```
6
Lattice="2.076 -7.850 0.000 2.076 7.850 0.000 0.000 0.000 4.697" Properties=species:S:1:pos:R:3 pbc="T T T"
Hf 0.000 0.000 0.000
Sn 2.076 5.336 2.349
Sn 2.076 2.423 0.000
Sn 2.076 0.000 2.349
Sn 2.076 -2.423 0.000
Sn 2.076 -5.336 2.349
```


HfSn: relaxed, PBE.

Calculated values
SG: I4/m
volume: 24.56 A^3/atom
crystal system: tetragonal
formation energy: -0.02 eV per formula unit

Geometry as extended XYZ:
```
8
Lattice="-5.508 5.508 1.619 5.508 -5.508 1.619 5.508 5.508 -1.619" Properties=species:S:1:pos:R:3 pbc="T T T"
Hf 7.056 1.127 0.000
Hf 1.127 3.960 0.000
Hf 4.381 1.548 1.619
Hf -1.548 4.381 1.619
Sn 1.892 1.038 0.000
Sn 4.470 -3.616 1.619
Sn 1.038 9.124 0.000
Sn 3.616 4.470 1.619
```


HfSn: relaxed, PBE.

Calculated values
SG: Pm-3n
volume: 42.90 A^3/atom
crystal system: cubic
formation energy: 1.66 eV per formula unit

Geometry as extended XYZ:
```
12
Lattice="8.015 0.000 0.000 0.000 8.015 0.000 0.000 0.000 8.015" Properties=species:S:1:pos:R:3 pbc="T T T"
Hf 0.000 2.004 4.007
Hf 0.000 6.011 4.007
Hf 2.004 4.007 0.000
Hf 4.007 0.000 2.004
Hf 4.007 0.000 6.011
Hf 6.011 4.007 0.000
Sn 0.000 4.007 2.004
Sn 0.000 4.007 6.011
Sn 2.004 0.000 4.007
Sn 4.007 2.004 0.000
Sn 4.007 6.011 0.000
Sn 6.011 0.000 4.007
```


Hf6Sn5: relaxed, PBE.

Calculated values
SG: C2/m
volume: 23.77 A^3/atom
crystal system: monoclinic
formation energy: -0.15 eV per formula unit

Geometry as extended XYZ:
```
11
Lattice="3.264 -5.462 0.000 3.264 5.462 0.000 -2.413 0.000 7.333" Properties=species:S:1:pos:R:3 pbc="T T T"
Hf -0.472 1.568 5.080
Hf 0.699 0.000 1.470
Hf -0.472 -1.568 5.080
Hf 4.586 1.568 2.254
Hf 3.415 0.000 5.863
Hf 4.586 -1.568 2.254
Sn 3.264 3.006 0.000
Sn 2.057 1.488 3.667
Sn 3.264 0.000 0.000
Sn 2.057 -1.488 3.667
Sn 3.264 -3.006 0.000
```


HfSn: relaxed, PBE.

Calculated values
SG: P6_3/m
volume: 25.53 A^3/atom
crystal system: hexagonal
formation energy: 0.29 eV per formula unit

Geometry as extended XYZ:
```
12
Lattice="8.007 0.000 0.000 -4.004 6.934 0.000 0.000 0.000 5.517" Properties=species:S:1:pos:R:3 pbc="T T T"
Hf -1.118 3.194 1.379
Hf -0.679 6.305 1.379
Hf 2.207 2.565 4.138
Hf 1.796 4.369 1.379
Hf 4.682 0.629 4.138
Hf 5.121 3.740 4.138
Sn -0.599 1.931 4.138
Sn -2.032 6.488 4.138
Sn 1.372 1.484 1.379
Sn 2.631 5.450 4.138
Sn 6.036 0.447 1.379
Sn 4.603 5.004 1.379
```


HfSn: relaxed, PBE.

Calculated values
SG: Fm-3m
volume: 24.53 A^3/atom
crystal system: cubic
formation energy: -0.25 eV per formula unit

Geometry as extended XYZ:
```
2
Lattice="0.000 2.906 2.906 2.906 0.000 2.906 2.906 2.906 0.000" Properties=species:S:1:pos:R:3 pbc="T T T"
Hf 0.000 0.000 0.000
Sn 2.906 2.906 2.906
```


HfSn: relaxed, PBE.

Calculated values
SG: P2_13
volume: 22.70 A^3/atom
crystal system: cubic
formation energy: -0.55 eV per formula unit

Geometry as extended XYZ:
```
8
Lattice="5.663 0.000 0.000 0.000 5.663 0.000 0.000 0.000 5.663" Properties=species:S:1:pos:R:3 pbc="T T T"
Hf 0.812 0.812 0.812
Hf 2.020 4.851 3.643
Hf 3.643 2.020 4.851
Hf 4.851 3.643 2.020
Sn 0.884 1.947 3.715
Sn 1.947 3.715 0.884
Sn 3.715 0.884 1.947
Sn 4.779 4.779 4.779
```


Hf4Sn3: relaxed, PBE.

Calculated values
SG: I4/mmm
volume: 22.22 A^3/atom
crystal system: tetragonal
formation energy: -1.77 eV per formula unit

Geometry as extended XYZ:
```
7
Lattice="-1.889 1.889 10.892 1.889 -1.889 10.892 1.889 1.889 -10.892" Properties=species:S:1:pos:R:3 pbc="T T T"
Hf 0.000 0.000 1.586
Hf 0.000 0.000 7.742
Hf 0.000 0.000 14.042
Hf 0.000 0.000 20.198
Sn 0.000 0.000 4.594
Sn 0.000 0.000 10.892
Sn 0.000 0.000 17.191
```


HfSn: relaxed, PBE.

Calculated values
SG: P4/nmm
volume: 22.73 A^3/atom
crystal system: tetragonal
formation energy: -0.50 eV per formula unit

Geometry as extended XYZ:
```
4
Lattice="3.894 0.000 0.000 0.000 3.894 0.000 0.000 0.000 5.999" Properties=species:S:1:pos:R:3 pbc="T T T"
Hf 0.973 0.973 0.745
Hf 2.920 2.920 5.253
Sn 0.973 0.973 3.826
Sn 2.920 2.920 2.173
```


Fermi-level density of states? In order: 4.49; 4.72; 5.72; 2.82; 8.07; 16.82; 3.40; 8.23; 1.39; 0.02; 3.55; 2.97; 5.75; 3.22; 7.90; 8.49; 0.65; 7.93; 4.01; 2.55 states/eV/cell.